[1]
Below is a relaxed KCa2O crystal, with properties calculated at the GGA-PBE level.

Cell: 7.426 7.426 10.530 Å, 90.00 90.00 90.00°
Space group I4_1/amd (No. 141, origin choice 2)
Symmetry-distinct sites (fractional):
1 K 0.000 0.250 0.375 x4
2 Ca 0.000 0.000 0.000 x8
3 O 0.000 0.250 0.875 x4

Summary:
Electronic total energy ... -3.80 eV/atom
Total magnetization ... 0.00 μB per formula unit
Formation energy without anion corrections ... -1.29 eV per atom

---

[2]
Below is a relaxed KCa3O crystal, with properties calculated at the GGA-PBE level.

Cell: 5.312 5.312 5.312 Å, 90.00 90.00 90.00°
Space group Pm-3m (No. 221)
Symmetry-distinct sites (fractional):
1 K 0.000 0.000 0.000 x1
2 Ca 0.000 0.500 0.500 x3
3 O 0.500 0.500 0.500 x1

Summary:
Electronic total energy ... -3.15 eV/atom
Total magnetization ... 0.00 μB per formula unit
Formation energy without anion corrections ... -0.74 eV per atom
Energy above the most stable polymorph in this dataset ... 0.000 eV/atom

---

[3]
Below is a relaxed KCaO2 crystal, with properties calculated at the GGA-PBE level.

Cell: 6.156 6.156 6.156 Å, 90.00 90.00 90.00°
Space group Fm-3m (No. 225)
Symmetry-distinct sites (fractional):
1 K 0.000 0.000 0.000 x4
2 Ca 0.000 0.000 0.500 x4
3 O 0.250 0.250 0.250 x8

Summary:
Electronic total energy ... -4.72 eV/atom
Total magnetization ... 1.00 μB per formula unit
Formation energy without anion corrections ... -1.47 eV per atom

---

[4]
Below is a relaxed K4CaOs3O12 crystal, with properties calculated at the GGA-PBE level.

Cell: 8.088 8.088 8.088 Å, 90.00 90.00 90.00°
Space group Im-3m (No. 229)
Symmetry-distinct sites (fractional):
1 K 0.250 0.250 0.250 x8
2 Ca 0.000 0.000 0.000 x2
3 Os 0.000 0.000 0.500 x6
4 O 0.000 0.000 0.273 x12
5 O 0.000 0.250 0.500 x12

Summary:
Electronic total energy ... -6.42 eV/atom
Total magnetization ... 0.00 μB per formula unit
Formation energy without anion corrections ... -1.44 eV per atom

---

[5]
Below is a relaxed K3CaOs2O9 crystal, with properties calculated at the GGA-PBE level.

Cell: 5.7466 5.7466 7.2084 Å, 90.00 90.00 120.00°
Space group P-3m1 (No. 164)
Symmetry-distinct sites (fractional):
1 K 0.0000 0.0000 0.0000 x1
2 K 0.3333 0.6667 0.6642 x2
3 Ca 0.0000 0.0000 0.5000 x1
4 Os 0.3333 0.6667 0.1562 x2
5 O 0.0000 0.5000 0.0000 x3
6 O 0.1800 0.3599 0.3023 x6

Summary:
Electronic total energy ... -6.40 eV/atom
Total magnetization ... 0.00 μB per formula unit
Formation energy without anion corrections ... -1.58 eV per atom

---

[6]
Below is a relaxed K3Ca3OsO8 crystal, with properties calculated at the GGA-PBE level.

Cell: 6.8575 6.8575 18.6741 Å, 90.00 90.00 120.00°
Space group R-3m (No. 166, hexagonal axes)
Symmetry-distinct sites (fractional):
1 K 0.0000 0.5000 0.0000 x9
2 Ca 0.0000 0.5000 0.5000 x9
3 Os 0.0000 0.0000 0.5000 x3
4 O 0.0000 0.0000 0.2283 x6
5 O 0.0637 0.5318 0.2245 x18

Summary:
Electronic total energy ... -5.99 eV/atom
Total magnetization ... 1.03 μB per formula unit
Formation energy without anion corrections ... -1.97 eV per atom

---

[7]
Below is a relaxed K2CaOsO4 crystal, with properties calculated at the GGA-PBE level.

Cell: 6.228 6.228 7.264 Å, 90.00 90.00 90.00°
Space group I-4 (No. 82)
Symmetry-distinct sites (fractional):
1 K 0.000 0.000 0.000 x2
2 K 0.000 0.500 0.250 x2
3 Ca 0.000 0.000 0.500 x2
4 Os 0.000 0.500 0.750 x2
5 O 0.146 0.766 0.712 x8

Summary:
Electronic total energy ... -6.00 eV/atom
Total magnetization ... 2.00 μB per formula unit
Formation energy without anion corrections ... -1.59 eV per atom

---

[8]
Below is a relaxed KCaOsO6 crystal, with properties calculated at the GGA-PBE level.

Cell: 5.444 5.817 5.892 Å, 60.42 89.07 88.12°
Space group P1 (No. 1)
Symmetry-distinct sites (fractional):
1 K 0.000 0.000 0.000 x1
2 Ca 0.500 0.318 0.364 x1
3 Os 0.499 0.677 0.646 x1
4 O 0.288 0.633 0.436 x1
5 O 0.298 0.942 0.640 x1
6 O 0.333 0.420 0.960 x1
7 O 0.666 0.622 0.959 x1
8 O 0.701 0.417 0.641 x1
9 O 0.711 0.930 0.436 x1

Summary:
Electronic total energy ... -6.32 eV/atom
Total magnetization ... 1.02 μB per formula unit
Formation energy without anion corrections ... -1.42 eV per atom

---

[9]
Below is a relaxed KCaPO4 crystal, with properties calculated at the GGA-PBE level.

Cell: 5.607 5.686 7.194 Å, 90.00 105.99 90.00°
Space group P2_1/m (No. 11)
Symmetry-distinct sites (fractional):
1 K 0.197 0.250 0.429 x2
2 Ca 0.281 0.250 0.958 x2
3 P 0.263 0.750 0.172 x2
4 O 0.090 0.750 0.308 x2
5 O 0.098 0.750 0.958 x2
6 O 0.439 0.531 0.204 x4

Summary:
Electronic total energy ... -6.68 eV/atom
Total magnetization ... 0.00 μB per formula unit
Formation energy without anion corrections ... -2.63 eV per atom
Energy above the most stable polymorph in this dataset ... 0.000 eV/atom

---

[10]
Below is a relaxed KCaPO4 crystal, with properties calculated at the GGA-PBE level.

Cell: 13.708 6.709 6.583 Å, 90.00 101.77 90.00°
Space group C2/m (No. 12)
Symmetry-distinct sites (fractional):
1 K 0.000 0.000 0.000 x2
2 K 0.000 0.000 0.500 x2
3 Ca 0.172 0.500 0.130 x4
4 P 0.002 0.500 0.330 x4
5 O 0.061 0.313 0.283 x8
6 O 0.107 0.500 0.790 x4
7 O 0.163 0.000 0.831 x4

Summary:
Electronic total energy ... -6.04 eV/atom
Total magnetization ... 1.01 μB per formula unit
Formation energy without anion corrections ... -1.99 eV per atom
Energy above the most stable polymorph in this dataset ... 0.647 eV/atom

---

[11]
Below is a relaxed KCa2PO crystal, with properties calculated at the GGA-PBE level.

Cell: 4.728 4.728 5.359 Å, 90.00 90.00 90.00°
Space group P4/mmm (No. 123)
Symmetry-distinct sites (fractional):
1 K 0.000 0.000 0.000 x1
2 Ca 0.000 0.500 0.500 x2
3 P 0.500 0.500 0.000 x1
4 O 0.500 0.500 0.500 x1

Summary:
Electronic total energy ... -3.86 eV/atom
Total magnetization ... 0.41 μB per formula unit
Formation energy without anion corrections ... -0.77 eV per atom

---

[12]
Below is a relaxed K2CaPO4 crystal, with properties calculated at the GGA-PBE level.

Cell: 6.318 6.318 7.629 Å, 90.00 90.00 90.00°
Space group I-4 (No. 82)
Symmetry-distinct sites (fractional):
1 K 0.000 0.000 0.000 x2
2 K 0.000 0.500 0.250 x2
3 Ca 0.000 0.000 0.500 x2
4 P 0.000 0.500 0.750 x2
5 O 0.084 0.317 0.629 x8

Summary:
Electronic total energy ... -5.79 eV/atom
Total magnetization ... 0.00 μB per formula unit
Formation energy without anion corrections ... -2.11 eV per atom

---

Q: formation energy without anion corrections of number 3 (KCaO2)?
A: -1.47 eV per atom

---

Q: Look up the formation energy without anion corrections of the ninth one.
A: -2.63 eV per atom